Material: SmCu2H8Ir
Method: DFT, PBE
State: optimized geometry

POSCAR file:
```
SmCu2H8Ir
1.0
4.508 -0.074 0.005
-0.106 4.402 1.283
0.086 1.792 5.945
Sm Cu H Ir
1 2 8 1
Direct
0.000 0.000 0.500 Sm
0.511 0.306 0.731 Cu
0.489 0.694 0.269 Cu
0.095 0.646 0.288 H
0.796 0.727 0.951 H
0.715 0.090 0.133 H
0.905 0.354 0.712 H
0.204 0.273 0.049 H
0.285 0.910 0.867 H
0.487 0.738 0.552 H
0.513 0.262 0.448 H
0.000 0.000 0.000 Ir
```

Values from the calculation:
Calculated total energy = -0.31325 Ry/atom
Space-group type = P-1, No. 2
DOS at the Fermi energy = 0.2 states/eV per cell

Material: CuSnH6Ir2
Method: DFT, PBE
State: optimized geometry

POSCAR file:
```
CuSnH6Ir2
1.0
5.204 -0.095 0.503
-0.732 5.153 0.503
-0.800 -0.905 7.554
Cu Sn H Ir
2 2 12 4
Direct
0.477 0.523 0.250 Cu
0.523 0.477 0.750 Cu
0.057 0.943 0.250 Sn
0.943 0.057 0.750 Sn
0.787 0.413 0.136 H
0.587 0.213 0.364 H
0.213 0.587 0.864 H
0.413 0.787 0.636 H
0.153 0.447 0.153 H
0.553 0.847 0.347 H
0.847 0.553 0.847 H
0.447 0.153 0.653 H
0.221 0.493 0.467 H
0.507 0.779 0.033 H
0.779 0.507 0.533 H
0.493 0.221 0.967 H
0.435 0.960 0.822 Ir
0.040 0.565 0.678 Ir
0.565 0.040 0.178 Ir
0.960 0.435 0.322 Ir
```

Values from the calculation:
Calculated total energy = -0.33203 Ry/atom
Space-group type = C2/c, No. 15
DOS at the Fermi energy = 5.5 states/eV per cell

Material: SrCu2H8Ir
Method: DFT, PBE
State: optimized geometry

POSCAR file:
```
SrCu2H8Ir
1.0
4.722 0.058 0.169
-0.115 4.263 1.779
-0.016 2.226 6.635
Sr Cu H Ir
1 2 8 1
Direct
0.000 0.000 0.500 Sr
0.487 0.264 0.737 Cu
0.513 0.736 0.263 Cu
0.138 0.708 0.291 H
0.760 0.648 0.097 H
0.759 0.155 0.099 H
0.862 0.292 0.709 H
0.240 0.352 0.903 H
0.241 0.845 0.901 H
0.500 0.754 0.500 H
0.500 0.246 0.500 H
0.000 0.000 0.000 Ir
```

Values from the calculation:
Calculated total energy = -0.29352 Ry/atom
Space-group type = P-1, No. 2
DOS at the Fermi energy = 1.7 states/eV per cell

Material: Sr2CuHIr
Method: DFT, PBE
State: optimized geometry

POSCAR file:
```
Sr2CuHIr
1.0
-4.163 -3.133 0.666
0.255 -1.413 -5.053
2.262 -2.814 0.901
Sr Ir Cu H
2 1 1 1
Direct
0.000 0.500 0.000 Sr
0.500 0.000 0.000 Sr
0.000 0.000 0.500 Ir
0.500 0.500 0.500 Cu
0.000 0.000 0.000 H
```

Values from the calculation:
Calculated total energy = -0.30113 Ry/atom
Space-group type = P4/mmm, No. 123
DOS at the Fermi energy = 1.0 states/eV per cell

Material: SrCuH6Ir
Method: DFT, PBE
State: optimized geometry

POSCAR file:
```
SrCuH6Ir
1.0
4.809 0.001 0.000
2.405 4.165 0.000
0.000 0.000 4.814
Sr Cu H Ir
1 1 6 1
Direct
0.000 0.000 0.000 Sr
0.667 0.667 0.500 Cu
0.024 0.381 0.299 H
0.381 0.024 0.701 H
0.595 0.381 0.701 H
0.024 0.595 0.701 H
0.381 0.595 0.299 H
0.595 0.024 0.299 H
0.333 0.333 0.500 Ir
```

Values from the calculation:
Calculated total energy = -0.30637 Ry/atom
Space-group type = P312, No. 149

Material: TaCu2HIr
Method: DFT, PBE
State: optimized geometry

POSCAR file:
```
TaCu2HIr
1.0
-2.144 -3.105 -0.292
2.460 -1.466 -2.474
2.106 -1.748 3.131
H Ir Cu Ta
1 1 2 1
Direct
0.000 0.000 0.000 H
0.500 0.500 0.500 Ir
0.000 0.500 0.000 Cu
0.500 0.000 0.000 Cu
0.000 0.000 0.500 Ta
```

Values from the calculation:
Calculated total energy = -0.47430 Ry/atom
Space-group type = P4/mmm, No. 123
DOS at the Fermi energy = 4.1 states/eV per cell

no.,total magnetization (μB per cell)
1,0.0
2,0.0
3,0.0
4,0.0
5,0.0
6,0.0